LiSbTe3O12 after structural relaxation. Source: Alexandria via LeMat-Bulk, functional GGA-PBEsol.

a = 4.8379 Å, b = 8.4302 Å, c = 5.1981 Å
α = 90.00°, β = 90.31°, γ = 90.00°
Space group P2 (No. 3)
Symmetry-distinct sites (fractional):
1 Li 0.0000 0.0000 0.0000 [1 per cell]
2 Sb 0.5000 0.1086 0.5000 [1 per cell]
3 Te 0.0000 0.6040 0.0000 [1 per cell]
4 Te 0.0000 0.7892 0.5000 [1 per cell]
5 Te 0.5000 0.2923 0.0000 [1 per cell]
6 O 0.2081 0.7791 0.8226 [2 per cell]
7 O 0.2124 0.6236 0.3173 [2 per cell]
8 O 0.2388 0.9475 0.3536 [2 per cell]
9 O 0.2540 0.4544 0.8569 [2 per cell]
10 O 0.2801 0.1277 0.8227 [2 per cell]
11 O 0.2855 0.2763 0.3062 [2 per cell]

formation energy without anion corrections: -1.12 eV per atom
offset from the most stable computed form: 0.000 eV per atom
magnetic moment: 0.0 μB per formula unit